[1]
Density functional theory data (PBE) for a geometry-optimized Tb8Ag2Au structure.

Results
space-group type	C2/m
energy relative to the elements	-229	meV/atom

Lattice parameters (Å, degrees): 9.314 9.314 6.920 105.54 105.54 32.41
Element x y z (fractional)
Tb (0.027, 0.027, 0.276)
Tb (0.201, 0.201, 0.823)
Tb (0.335, 0.335, 0.522)
Tb (0.408, 0.408, 0.046)
Tb (0.592, 0.592, 0.954)
Tb (0.665, 0.665, 0.478)
Tb (0.799, 0.799, 0.177)
Tb (0.973, 0.973, 0.724)
Ag (0.183, 0.183, 0.227)
Ag (0.817, 0.817, 0.773)
Au (0.500, 0.500, 0.500)

---

[2]
Density functional theory data (PBE) for a geometry-optimized Ti2AlHW structure.

Results
offset from the most stable computed form	0.000	eV per atom
space-group type	P4/mmm

Lattice parameters (Å, degrees): 4.274 4.274 3.643 90.00 90.00 90.00
Element x y z (fractional)
Ti (0.000, 0.500, 0.000)
Ti (0.500, 0.000, 0.000)
Al (0.000, 0.000, 0.500)
H (0.500, 0.500, 0.000)
W (0.500, 0.500, 0.500)